La3PaSn12 | PBE-GGA | optimized geometry

E_tot ... -5.0251 eV per atom
ΔH_f (0 K) ... -0.51 eV per atom

```
data_La3PaSn12
_chemical_formula_sum 'La3 Pa1 Sn12'
_cell_length_a 4.773
_cell_length_b 4.773
_cell_length_c 18.987
_cell_angle_alpha 90.00
_cell_angle_beta 90.00
_cell_angle_gamma 90.00
_space_group_name_H-M_alt 'P 4/m m m'
_space_group_IT_number 123
_space_group_name_Hall '-P 4 2'
loop_
_atom_site_label
_atom_site_fract_x
_atom_site_fract_y
_atom_site_fract_z
_atom_site_occupancy
La1 0.000 0.000 0.000 1
La2 0.000 0.000 0.256 1
Pa1 0.000 0.000 0.500 1
Sn1 0.000 0.500 0.128 1
Sn2 0.000 0.500 0.381 1
Sn3 0.500 0.500 0.000 1
Sn4 0.500 0.500 0.253 1
Sn5 0.500 0.500 0.500 1
```



GaGeH | PBE-GGA | optimized geometry

Offset from the most stable computed form ... 0.008 eV per atom
E_tot ... -3.5312 eV per atom

```
data_GaGeH
_chemical_formula_sum 'Ga4 Ge4 H4'
_cell_length_a 7.578
_cell_length_b 4.295
_cell_length_c 7.292
_cell_angle_alpha 90.00
_cell_angle_beta 91.43
_cell_angle_gamma 90.00
_space_group_name_H-M_alt 'C 1 m 1'
_space_group_IT_number 8
loop_
_space_group_symop_operation_xyz
'x,y,z'
'x,-y,z'
'x+1/2,y+1/2,z'
'x+1/2,-y+1/2,z'
loop_
_atom_site_label
_atom_site_fract_x
_atom_site_fract_y
_atom_site_fract_z
_atom_site_occupancy
Ga1 0.000 0.000 0.000 1
Ga2 0.013 0.000 0.523 1
Ge1 0.332 0.000 0.053 1
Ge2 0.414 0.000 0.388 1
H1 0.006 0.000 0.752 1
H2 0.242 0.000 0.529 1
```



KLa2Cd | PBE-GGA | optimized geometry

E_tot ... -2.6460 eV per atom
ΔH_f (0 K) ... 0.32 eV per atom

```
data_KLa2Cd
_chemical_formula_sum 'K4 La8 Cd4'
_cell_length_a 8.255
_cell_length_b 8.255
_cell_length_c 8.255
_cell_angle_alpha 90.00
_cell_angle_beta 90.00
_cell_angle_gamma 90.00
_space_group_name_H-M_alt 'F -4 3 m'
_space_group_IT_number 216
_space_group_name_Hall 'F -4 2 3'
loop_
_atom_site_label
_atom_site_fract_x
_atom_site_fract_y
_atom_site_fract_z
_atom_site_occupancy
K1 0.000 0.000 0.000 1
La1 0.000 0.000 0.500 1
La2 0.250 0.250 0.750 1
Cd1 0.250 0.250 0.250 1
```



Pm7TmTl5 | PBE-GGA | optimized geometry

E_tot ... -3.9805 eV per atom
ΔH_f (0 K) ... -0.17 eV per atom

```
data_Pm7TmTl5
_chemical_formula_sum 'Pm14 Tm2 Tl10'
_cell_length_a 6.771
_cell_length_b 10.798
_cell_length_c 11.119
_cell_angle_alpha 90.00
_cell_angle_beta 90.00
_cell_angle_gamma 90.00
_space_group_name_H-M_alt 'I m m 2'
_space_group_IT_number 44
loop_
_space_group_symop_operation_xyz
'x,y,z'
'-x,-y,z'
'-x,y,z'
'x,-y,z'
'x+1/2,y+1/2,z+1/2'
'-x+1/2,-y+1/2,z+1/2'
'-x+1/2,y+1/2,z+1/2'
'x+1/2,-y+1/2,z+1/2'
loop_
_atom_site_label
_atom_site_fract_x
_atom_site_fract_y
_atom_site_fract_z
_atom_site_occupancy
Pm1 0.000 0.000 0.000 1
Pm2 0.000 0.000 0.336 1
Pm3 0.000 0.316 0.102 1
Pm4 0.000 0.331 0.617 1
Pm5 0.000 0.500 0.346 1
Tm1 0.000 0.000 0.673 1
Tl1 0.000 0.500 0.869 1
Tl2 0.242 0.237 0.858 1
```



CsRb2HgGe | PBE-GGA | optimized geometry

E_tot ... -1.4891 eV per atom
ΔH_f (0 K) ... 0.05 eV per atom

```
data_CsRb2HgGe
_chemical_formula_sum 'Cs1 Rb2 Hg1 Ge1'
_cell_length_a 7.188
_cell_length_b 7.188
_cell_length_c 5.276
_cell_angle_alpha 90.00
_cell_angle_beta 90.00
_cell_angle_gamma 90.00
_space_group_name_H-M_alt 'P 4/m m m'
_space_group_IT_number 123
_space_group_name_Hall '-P 4 2'
loop_
_atom_site_label
_atom_site_fract_x
_atom_site_fract_y
_atom_site_fract_z
_atom_site_occupancy
Cs1 0.000 0.000 0.000 1
Rb1 0.000 0.500 0.500 1
Hg1 0.500 0.500 0.000 1
Ge1 0.500 0.500 0.500 1
```



Be2WSe | PBE-GGA | optimized geometry

E_tot ... -5.5761 eV per atom
Uncorrected formation energy ... 0.3965 eV per atom

```
data_Be2WSe
_chemical_formula_sum 'Be2 W1 Se1'
_cell_length_a 2.920
_cell_length_b 2.920
_cell_length_c 8.000
_cell_angle_alpha 90.00
_cell_angle_beta 90.00
_cell_angle_gamma 90.00
_space_group_name_H-M_alt 'P 4 m m'
_space_group_IT_number 99
loop_
_space_group_symop_operation_xyz
'x,y,z'
'-y,x,z'
'-x,-y,z'
'y,-x,z'
'-x,y,z'
'y,x,z'
'x,-y,z'
'-y,-x,z'
loop_
_atom_site_label
_atom_site_fract_x
_atom_site_fract_y
_atom_site_fract_z
_atom_site_occupancy
Be1 0.000 0.000 0.000 1
Be2 0.500 0.500 0.112 1
W1 0.500 0.500 0.793 1
Se1 0.000 0.000 0.596 1
```



The records above give, respectively, density of states at the Fermi level values of 10.86; 0.26; 6.27; 14.72; 2.85; 0.61 states/eV/f.u..
The records above give, respectively, volume values of 433; 237; 563; 813; 273; 68 Å³/cell.